# 1
BaBeSbIr: optimized geometry, PBE-GGA.

a b c (Å): 5.0668 5.0668 5.0668
angles (deg): 60.00 60.00 60.00
Last column: nearest neighbours and their distance in Å.
Fractional coordinates of all 4 atoms:
Ba  0.0000  0.0000  0.0000  4 Sb 3.10, 4 Ir 3.10
Be  0.5000  0.5000  0.5000  4 Sb 3.10, 4 Ir 3.10
Sb  0.7500  0.7500  0.7500  4 Ba 3.10, 4 Be 3.10
Ir  0.2500  0.2500  0.2500  4 Be 3.10, 4 Ba 3.10

The calculation puts the raw total energy at -15.90 eV/f.u. The total magnetic moment comes out at 0.02 μB per formula unit. The polymorph energy (0 for the lowest one) is 0.2973 eV per atom.


# 2
Ba2NaTcS6: optimized geometry, PBE-GGA.

a b c (Å): 6.9878 6.9878 6.9878
angles (deg): 120.03 120.03 89.95
Last column: nearest neighbours and their distance in Å.
Fractional coordinates of all 10 atoms:
Ba  0.2500  0.7500  0.5000  12 S 3.45-3.54
Ba  0.7500  0.2500  0.5000  12 S 3.45-3.54
Na  0.0000  0.0000  0.0000  6 S 2.59
Tc  0.5000  0.5000  0.0000  6 S 2.35-2.36
S  0.2553  0.2683  0.5235  1 Tc 2.35, 1 Na 2.59
S  0.2617  0.2617  0.0000  1 Tc 2.36, 1 Na 2.59
S  0.2683  0.7447  0.0130  1 Tc 2.35, 1 Na 2.59
S  0.7317  0.2553  0.9870  1 Tc 2.35, 1 Na 2.59
S  0.7383  0.7383  0.0000  1 Tc 2.36, 1 Na 2.59
S  0.7447  0.7317  0.4765  1 Tc 2.35, 1 Na 2.59

The calculation puts the raw total energy at -49.20 eV/f.u. The total magnetic moment comes out at 0.07 μB per formula unit. The polymorph energy (0 for the lowest one) is 0.0408 eV per atom.


# 3
NbAsNO: optimized geometry, PBE-GGA.

a b c (Å): 4.0285 4.0285 6.9260
angles (deg): 90.00 90.00 90.00
Last column: nearest neighbours and their distance in Å.
Fractional coordinates of all 8 atoms:
Nb  0.2500  0.7500  0.0000  4 N 2.11
Nb  0.7500  0.2500  0.0000  4 N 2.11
As  0.2500  0.2500  0.3879  4 O 2.16
As  0.7500  0.7500  0.6121  4 O 2.16
N  0.2500  0.2500  0.9080  4 Nb 2.11
N  0.7500  0.7500  0.0920  4 Nb 2.11
O  0.2500  0.7500  0.5000  4 As 2.16
O  0.7500  0.2500  0.5000  4 As 2.16

The calculation puts the raw total energy at -29.38 eV/f.u. The total magnetic moment comes out at 0.00 μB per formula unit. The polymorph energy (0 for the lowest one) is 0.5031 eV per atom.


# 4
InCuTe3Pd: optimized geometry, PBE-GGA.

a b c (Å): 7.6321 7.6321 10.1596
angles (deg): 90.00 90.00 149.85
Last column: nearest neighbours and their distance in Å.
Fractional coordinates of all 12 atoms:
In  0.2339  0.7661  0.7500  8 Te 3.24-3.60
In  0.7661  0.2339  0.2500  8 Te 3.24-3.60
Cu  0.4736  0.5264  0.2500  4 Te 2.58-2.59
Cu  0.5264  0.4736  0.7500  4 Te 2.58-2.59
Te  0.0858  0.9142  0.2500  2 Cu 2.58, 2 Pd 2.84
Te  0.3684  0.6316  0.0461  1 Cu 2.59, 2 Pd 2.81
Te  0.3684  0.6316  0.4539  1 Cu 2.59, 2 Pd 2.81
Te  0.6316  0.3684  0.5461  1 Cu 2.59, 2 Pd 2.81
Te  0.6316  0.3684  0.9539  1 Cu 2.59, 2 Pd 2.81
Te  0.9142  0.0858  0.7500  2 Cu 2.58, 2 Pd 2.84
Pd  0.0000  0.0000  0.0000  6 Te 2.81-2.84
Pd  0.0000  0.0000  0.5000  6 Te 2.81-2.84

The calculation puts the raw total energy at -21.92 eV/f.u.


# 5
PmInBi: optimized geometry, PBE-GGA.

a b c (Å): 5.2820 5.2820 5.2820
angles (deg): 60.00 60.00 60.00
Last column: nearest neighbours and their distance in Å.
Fractional coordinates of all 3 atoms:
Pm  0.0000  0.0000  0.0000  4 Bi 3.23, 4 In 3.23
In  0.2500  0.2500  0.2500  4 Pm 3.23
Bi  0.7500  0.7500  0.7500  4 Pm 3.23

The calculation puts the raw total energy at -12.15 eV/f.u. The total magnetic moment comes out at 0.00 μB per formula unit. The polymorph energy (0 for the lowest one) is 0.0000 eV per atom.


# 6
AgPd: optimized geometry, PBE-GGA.

a b c (Å): 4.2029 4.2029 4.2029
angles (deg): 60.00 60.00 60.00
Last column: nearest neighbours and their distance in Å.
Fractional coordinates of all 2 atoms:
Ag  0.0000  0.0000  0.0000  4 Pd 2.57
Pd  0.7500  0.7500  0.7500  4 Ag 2.57

The calculation puts the raw total energy at -5.98 eV/f.u. Its formation energy is 1.011 eV/atom.


# 7
YTm2Mg4Al2: optimized geometry, PBE-GGA.

a b c (Å): 4.5449 7.4435 7.4435
angles (deg): 120.33 90.00 90.00
Last column: nearest neighbours and their distance in Å.
Fractional coordinates of all 9 atoms:
Y  0.0000  0.0000  0.0000  4 Al 3.18, 3 Mg 3.25-3.26
Tm  0.0000  0.4361  0.8746  4 Al 3.15, 3 Mg 3.25-3.26
Tm  0.0000  0.8746  0.4361  4 Al 3.15, 3 Mg 3.25-3.26
Mg  0.0000  0.4401  0.4401  6 Mg 2.91-2.94, 2 Tm 3.25, 1 Y 3.26
Mg  0.5000  0.1884  0.4374  2 Al 2.83-2.85, 2 Mg 2.94
Mg  0.5000  0.4374  0.1884  2 Al 2.83-2.85, 2 Mg 2.94
Mg  0.5000  0.6865  0.6865  2 Al 2.85, 2 Mg 2.91
Al  0.5000  0.1038  0.7682  3 Mg 2.83-2.85, 4 Tm 3.15
Al  0.5000  0.7682  0.1038  3 Mg 2.83-2.85, 4 Tm 3.15

The calculation puts the raw total energy at -31.04 eV/f.u. The total magnetic moment comes out at 0.00 μB per formula unit.


# 8
FeCuGeAs: optimized geometry, PBE-GGA.

a b c (Å): 4.3483 4.3483 4.3483
angles (deg): 60.00 60.00 60.00
Last column: nearest neighbours and their distance in Å.
Fractional coordinates of all 4 atoms:
Fe  0.0000  0.0000  0.0000  4 Ge 2.66, 4 As 2.66
Cu  0.5000  0.5000  0.5000  4 As 2.66, 4 Ge 2.66
Ge  0.2500  0.2500  0.2500  4 Fe 2.66, 4 Cu 2.66
As  0.7500  0.7500  0.7500  4 Cu 2.66, 4 Fe 2.66

The calculation puts the raw total energy at -20.26 eV/f.u. The total magnetic moment comes out at 1.98 μB per formula unit. The polymorph energy (0 for the lowest one) is 0.0000 eV per atom.


# 9
Li2ZrAl2CuPt2: optimized geometry, PBE-GGA.

a b c (Å): 4.1167 4.1167 6.9245
angles (deg): 90.00 90.00 90.00
Last column: nearest neighbours and their distance in Å.
Fractional coordinates of all 8 atoms:
Li  0.0000  0.5000  0.2214  2 Cu 2.57, 4 Pt 2.57-2.82, 2 Zr 2.82
Li  0.5000  0.0000  0.7786  2 Cu 2.57, 4 Pt 2.57-2.82, 2 Zr 2.82
Zr  0.0000  0.0000  0.5000  4 Li 2.82, 4 Al 2.85, 4 Pt 2.91
Al  0.0000  0.5000  0.7847  2 Cu 2.54, 2 Pt 2.54
Al  0.5000  0.0000  0.2153  2 Cu 2.54, 2 Pt 2.54
Cu  0.5000  0.5000  0.0000  4 Al 2.54, 4 Li 2.57
Pt  0.0000  0.0000  0.0000  4 Al 2.54, 4 Li 2.57
Pt  0.5000  0.5000  0.5000  4 Li 2.82, 4 Al 2.85, 4 Zr 2.91

The calculation puts the raw total energy at -40.55 eV/f.u. The total magnetic moment comes out at 0.03 μB per formula unit.


# 10
KNiIrS3: optimized geometry, PBE-GGA.

a b c (Å): 7.2928 7.2928 9.3611
angles (deg): 90.00 90.00 151.19
Last column: nearest neighbours and their distance in Å.
Fractional coordinates of all 12 atoms:
K  0.2479  0.7521  0.7500  8 S 3.19-3.48
K  0.7521  0.2479  0.2500  8 S 3.19-3.48
Ni  0.4742  0.5258  0.2500  4 S 2.19-2.23
Ni  0.5258  0.4742  0.7500  4 S 2.19-2.23
Ir  0.0000  0.0000  0.0000  6 S 2.41-2.52
Ir  0.0000  0.0000  0.5000  6 S 2.41-2.52
S  0.0660  0.9340  0.2500  2 Ni 2.23
S  0.3927  0.6073  0.0506  1 Ni 2.19, 2 Ir 2.41
S  0.3927  0.6073  0.4494  1 Ni 2.19, 2 Ir 2.41
S  0.6073  0.3927  0.5506  1 Ni 2.19, 2 Ir 2.41
S  0.6073  0.3927  0.9494  1 Ni 2.19, 2 Ir 2.41
S  0.9340  0.0660  0.7500  2 Ni 2.23

The calculation puts the raw total energy at -30.90 eV/f.u. The total magnetic moment comes out at 0.75 μB per formula unit.


# 11
Cs2SnAuBr2Cl4: optimized geometry, PBE-GGA.

a b c (Å): 7.7265 7.7265 7.7265
angles (deg): 120.98 120.98 88.31
Last column: nearest neighbours and their distance in Å.
Fractional coordinates of all 10 atoms:
Cs  0.2500  0.7500  0.5000  4 Br 3.81, 8 Cl 3.86
Cs  0.7500  0.2500  0.5000  4 Br 3.81, 8 Cl 3.86
Sn  0.0000  0.0000  0.0000  4 Cl 2.66, 2 Br 2.81
Au  0.5000  0.5000  0.0000  4 Cl 2.72, 2 Br 2.73
Br  0.2535  0.2535  0.0000  1 Au 2.73, 1 Sn 2.81
Br  0.7465  0.7465  0.0000  1 Au 2.73, 1 Sn 2.81
Cl  0.2472  0.2472  0.4945  1 Sn 2.66, 1 Au 2.72
Cl  0.2472  0.7528  0.0000  1 Sn 2.66, 1 Au 2.72
Cl  0.7528  0.2472  0.0000  1 Sn 2.66, 1 Au 2.72
Cl  0.7528  0.7528  0.5055  1 Sn 2.66, 1 Au 2.72

The calculation puts the raw total energy at -31.35 eV/f.u.


# 12
Li2Ta: optimized geometry, PBE-GGA.

a b c (Å): 4.9789 4.9789 4.9789
angles (deg): 60.00 60.00 60.00
Last column: nearest neighbours and their distance in Å.
Fractional coordinates of all 6 atoms:
Li  0.0000  0.0000  0.0000  6 Li 2.49
Li  0.0000  0.0000  0.5000  6 Li 2.49
Li  0.0000  0.5000  0.0000  6 Li 2.49
Li  0.5000  0.0000  0.0000  6 Li 2.49
Ta  0.3750  0.3750  0.3750  12 Li 2.92, 4 Ta 3.05
Ta  0.6250  0.6250  0.6250  12 Li 2.92, 4 Ta 3.05

The calculation puts the raw total energy at -13.95 eV/f.u. The total magnetic moment comes out at 1.01 μB per formula unit. The polymorph energy (0 for the lowest one) is 0.0179 eV per atom.